This record from Alexandria describes a relaxed structure of RbHf3Cu. The functional is GGA-PBEsol.

Density of states at the Fermi level ... 3.55 states/eV/cell
Spin magnetization ... 0.000 μB per formula unit
Space-group type ... Pm-3m, No. 221
Formation energy from the elements ... 1.0275 eV per atom
Crystal system ... cubic
Calculated total energy ... -31.7 eV for the cell shown

a b c (Å): 5.0014 5.0014 5.0014
angles (deg): 90.00 90.00 90.00
Closest atoms and distances in Å follow each position.
Atoms (fractional coordinates):
Rb1 0.0000 0.0000 0.0000  12 Hf 3.54
Hf1 0.0000 0.5000 0.5000  2 Cu 2.50
Hf2 0.5000 0.0000 0.5000  2 Cu 2.50
Hf3 0.5000 0.5000 0.0000  2 Cu 2.50
Cu1 0.5000 0.5000 0.5000  6 Hf 2.50

***

This record from Alexandria describes a relaxed structure of Zr6Al16Ni7. The functional is GGA-PBEsol.

Density of states at the Fermi level ... 16.70 states/eV/cell
Spin magnetization ... 0.001 μB per formula unit
Space-group type ... Fm-3m, No. 225
Formation energy from the elements ... -0.6501 eV per atom
Crystal system ... cubic
Calculated total energy ... -182.0 eV for the cell shown

a b c (Å): 8.4683 8.4683 8.4683
angles (deg): 60.00 60.00 60.00
Closest atoms and distances in Å follow each position.
Atoms (fractional coordinates):
Zr1 0.1912 0.1912 0.8088  8 Al 2.83-3.04, 4 Ni 3.08
Zr2 0.1912 0.8088 0.1912  8 Al 2.83-3.04, 4 Ni 3.08
Zr3 0.1912 0.8088 0.8088  8 Al 2.83-3.04, 4 Ni 3.08
Zr4 0.8088 0.1912 0.1912  8 Al 2.83-3.04, 4 Ni 3.08
Zr5 0.8088 0.1912 0.8088  8 Al 2.83-3.04, 4 Ni 3.08
Zr6 0.8088 0.8088 0.1912  8 Al 2.83-3.04, 4 Ni 3.08
Al1 0.1432 0.6189 0.6189  4 Ni 2.47-2.64, 3 Al 2.69
Al2 0.1664 0.1664 0.1664  3 Ni 2.44, 3 Al 2.69
Al3 0.1664 0.1664 0.5009  3 Ni 2.44, 3 Al 2.69
Al4 0.1664 0.5009 0.1664  3 Ni 2.44, 3 Al 2.69
Al5 0.3811 0.3811 0.3811  4 Ni 2.47-2.64, 3 Al 2.69
Al6 0.3811 0.3811 0.8568  4 Ni 2.47-2.64, 3 Al 2.69
Al7 0.3811 0.8568 0.3811  4 Ni 2.47-2.64, 3 Al 2.69
Al8 0.4991 0.8336 0.8336  3 Ni 2.44, 3 Al 2.69
Al9 0.5009 0.1664 0.1664  3 Ni 2.44, 3 Al 2.69
Al10 0.6189 0.1432 0.6189  4 Ni 2.47-2.64, 3 Al 2.69
Al11 0.6189 0.6189 0.1432  4 Ni 2.47-2.64, 3 Al 2.69
Al12 0.6189 0.6189 0.6189  4 Ni 2.47-2.64, 3 Al 2.69
Al13 0.8336 0.4991 0.8336  3 Ni 2.44, 3 Al 2.69
Al14 0.8336 0.8336 0.4991  3 Ni 2.44, 3 Al 2.69
Al15 0.8336 0.8336 0.8336  3 Ni 2.44, 3 Al 2.69
Al16 0.8568 0.3811 0.3811  4 Ni 2.47-2.64, 3 Al 2.69
Ni1 0.0000 0.0000 0.5000  8 Al 2.44-2.64
Ni2 0.0000 0.5000 0.0000  8 Al 2.44-2.64
Ni3 0.0000 0.5000 0.5000  8 Al 2.44-2.64
Ni4 0.5000 0.0000 0.0000  8 Al 2.44-2.64
Ni5 0.5000 0.0000 0.5000  8 Al 2.44-2.64
Ni6 0.5000 0.5000 0.0000  8 Al 2.44-2.64
Ni7 0.5000 0.5000 0.5000  8 Al 2.47

***

This record from Alexandria describes a relaxed structure of Ca2CdPt. The functional is GGA-PBEsol.

Density of states at the Fermi level ... 2.50 states/eV/cell
Spin magnetization ... 0.000 μB per formula unit
Space-group type ... Imm2, No. 44
Formation energy from the elements ... -0.4858 eV per atom
Crystal system ... orthorhombic
Calculated total energy ... -14.4 eV for the cell shown

a b c (Å): 6.3033 6.3033 6.3033
angles (deg): 147.09 134.00 57.71
Closest atoms and distances in Å follow each position.
Atoms (fractional coordinates):
Ca1 0.0000 0.0000 0.0000  4 Pt 3.05, 2 Ca 3.32, 2 Cd 3.35
Ca2 0.7011 0.2011 0.5000  2 Pt 2.96, 4 Cd 3.21, 2 Ca 3.32
Cd1 0.2944 0.7944 0.5000  2 Pt 2.78
Pt1 0.4870 0.4870 0.0000  2 Cd 2.78, 6 Ca 2.96-3.05

***

This record from Alexandria describes a relaxed structure of K2AgCl2. The functional is GGA-PBEsol.

Density of states at the Fermi level ... 2.01 states/eV/cell
Spin magnetization ... 0.000 μB per formula unit
Space-group type ... I4/mmm, No. 139
Crystal system ... tetragonal
Calculated total energy ... -14.4 eV for the cell shown
ΔE_f (raw) ... -963 meV/atom

a b c (Å): 6.4991 6.4991 6.4991
angles (deg): 124.10 124.10 83.04
Closest atoms and distances in Å follow each position.
Atoms (fractional coordinates):
K1 0.2500 0.7500 0.5000  4 Cl 3.05
K2 0.7500 0.2500 0.5000  4 Cl 3.05
Ag1 0.0000 0.0000 0.0000  2 Cl 2.59
Cl1 0.2661 0.2661 0.0000  1 Ag 2.59
Cl2 0.7339 0.7339 0.0000  1 Ag 2.59

***

This record from Alexandria describes a relaxed structure of AlFe3. The functional is GGA-PBEsol.

Density of states at the Fermi level ... 7.45 states/eV/cell
Spin magnetization ... 5.759 μB per formula unit
Space-group type ... I4/mmm, No. 139
Formation energy from the elements ... -0.1680 eV per atom
Crystal system ... tetragonal
Calculated total energy ... -63.3 eV for the cell shown

a b c (Å): 6.3505 6.3505 6.3505
angles (deg): 143.45 143.45 52.65
Closest atoms and distances in Å follow each position.
Atoms (fractional coordinates):
Al1 0.1268 0.1268 0.0000  8 Fe 2.44-2.46
Al2 0.8732 0.8732 0.0000  8 Fe 2.44-2.46
Fe1 0.0000 0.5000 0.5000  4 Fe 2.45, 4 Al 2.46
Fe2 0.2500 0.7500 0.5000  4 Al 2.44, 4 Fe 2.45
Fe3 0.3749 0.3749 0.0000  8 Fe 2.45
Fe4 0.5000 0.0000 0.5000  4 Fe 2.45, 4 Al 2.46
Fe5 0.6251 0.6251 0.0000  8 Fe 2.45
Fe6 0.7500 0.2500 0.5000  4 Al 2.44, 4 Fe 2.45

***

This record from Alexandria describes a relaxed structure of LiMn3Nb. The functional is GGA-PBEsol.

Density of states at the Fermi level ... 4.55 states/eV/cell
Spin magnetization ... 5.971 μB per formula unit
Space-group type ... Pm-3m, No. 221
Formation energy from the elements ... 0.9939 eV per atom
Crystal system ... cubic
Calculated total energy ... -37.1 eV for the cell shown

a b c (Å): 3.9771 3.9771 3.9771
angles (deg): 90.00 90.00 90.00
Closest atoms and distances in Å follow each position.
Atoms (fractional coordinates):
Li1 0.0000 0.0000 0.0000  6 Mn 1.99
Mn1 0.0000 0.0000 0.5000  2 Li 1.99
Mn2 0.0000 0.5000 0.0000  2 Li 1.99
Mn3 0.5000 0.0000 0.0000  2 Li 1.99
Nb1 0.5000 0.5000 0.5000  12 Mn 2.81

***

Number 1: density 9.1 g/cm3. Number 2: density 5.4 g/cm3. Number 3: density 6.6 g/cm3. Number 4: density 2.4 g/cm3. Number 5: density 7.2 g/cm3. Number 6: density 7.0 g/cm3.